Entry 1:
SrCd4Ge GGA-PBE optimized geometry; DOS at the Fermi energy = 2.66 states/eV/f.u.; ΔE_f = -20 kJ/mol of atoms
1.0
4.414 0.000 -1.145
0.000 7.621 0.000
-0.040 0.000 8.925
Cd Sr Ge
8 2 2
direct
0.500 0.500 0.000
0.328 0.055 0.657
0.672 0.945 0.343
0.672 0.555 0.343
0.936 0.250 0.871
0.064 0.750 0.129
0.328 0.445 0.657
0.500 0.000 0.000
0.873 0.750 0.745
0.127 0.250 0.255
0.767 0.250 0.534
0.233 0.750 0.466

***

Entry 2:
InHPd3 GGA-PBE optimized geometry; DOS at the Fermi energy = 2.01 states/eV/f.u.
1.0
-8.659 -11.473 -16.013
-0.044 -4.191 3.026
0.440 4.195 5.815
In Pd H
4 12 4
direct
0.193 0.106 0.993
0.693 0.394 0.493
0.807 0.894 0.007
0.307 0.606 0.507
0.435 0.106 0.983
0.935 0.394 0.483
0.566 0.583 0.504
0.565 0.894 0.017
0.065 0.606 0.517
0.066 0.917 0.004
0.183 0.405 0.492
0.683 0.095 0.992
0.434 0.417 0.496
0.317 0.905 0.008
0.934 0.083 0.996
0.817 0.595 0.508
0.598 0.782 0.857
0.402 0.218 0.143
0.098 0.718 0.357
0.902 0.282 0.643

***

Entry 3:
NaAcSmTe3 GGA-PBE optimized geometry; DOS at the Fermi energy = 3.24 states/eV/f.u.; formation energy without anion corrections = -1.27 eV per atom
1.0
4.541 0.000 0.000
0.000 9.155 -0.190
0.000 -2.612 9.810
Te Sm Na Ac
6 2 2 2
direct
0.250 0.741 0.498
0.750 0.441 0.172
0.250 0.093 0.881
0.750 0.907 0.119
0.250 0.559 0.828
0.750 0.259 0.502
0.750 0.333 0.850
0.250 0.667 0.150
0.250 0.096 0.590
0.750 0.904 0.410
0.250 0.202 0.234
0.750 0.798 0.766

***

Here are the calculated calculated total energy numbers, same order: -1.862; -4.625; -4.530 (eV/atom).